# FeN2F2, optimized geometry, DFT PBE+U
# * Fermi-level density of states: 0.0 states/eV/cell
# * distance to the lowest polymorph of the same formula: 0.0000 eV per atom
# * magnetization: 8.00 μB/cell
data_FeN2F2
_chemical_formula_sum 'Fe2 N4 F4'
_space_group_name_H-M_alt 'C 1 2/m 1'
_space_group_IT_number 12
_cell_length_a 5.8170
_cell_length_b 3.2409
_cell_length_c 9.0093
_cell_angle_alpha 90.00
_cell_angle_beta 103.79
_cell_angle_gamma 90.00
loop_
_space_group_symop_operation_xyz
'x,y,z'
'-x,-y,-z'
'-x,y,-z'
'x,-y,z'
'x+1/2,y+1/2,z'
'-x+1/2,-y+1/2,-z'
'-x+1/2,y+1/2,-z'
'x+1/2,-y+1/2,z'
loop_
_atom_site_label
_atom_site_type_symbol
_atom_site_fract_x
_atom_site_fract_y
_atom_site_fract_z
Fe1 Fe 0.0000 0.0000 0.0000
N1 N 0.0147 0.5000 0.5634
F1 F 0.2078 0.5000 0.1089